Below is an optimized crystal structure of ScCdHg2, with properties calculated at the PBE-GGA level.

Lattice parameters (Å, degrees): 4.6689 4.6689 4.0593 90.00 90.00 90.00
Atoms (fractional coordinates):
Sc 0.0000 0.0000 0.0000
Cd 0.5000 0.5000 0.0000
Hg 0.0000 0.5000 0.5000
Hg 0.5000 0.0000 0.5000

Output
The calculation puts the mass density at 10.48 Mg/m³. The crystal system is tetragonal. Its space group is P4/mmm, No. 123. Its formation enthalpy at 0 K is -244 meV per atom.

Below is an optimized crystal structure of ScCdHg2, with properties calculated at the PBE-GGA level.

Lattice parameters (Å, degrees): 3.3647 3.3647 7.7783 90.00 90.00 90.00
Atoms (fractional coordinates):
Sc 0.0000 0.0000 0.0000
Cd 0.0000 0.0000 0.5000
Hg 0.5000 0.5000 0.2420
Hg 0.5000 0.5000 0.7580

Output
The calculation puts the mass density at 10.53 Mg/m³. The crystal system is tetragonal. Its space group is P4/mmm, No. 123. Its formation enthalpy at 0 K is -228 meV per atom.